Below is a geometry-optimized RbRhO2 structure, with properties calculated at the PBE level.

Values from the calculation:
formation energy from raw total energies: -816.3 meV per atom
calculated density: 5.1 g/cm³
Fermi-level density of states: 13.9 states/eV/cell
space-group type: Pnma, No. 62
V: 17.88 Å³/atom

Unit cell a=6.1779 b=3.2064 c=14.4458 alpha=90.00 beta=90.00 gamma=90.00
With the nearest neighbours (Å) after each atom.
Sites, in units of the cell vectors:
1 Rh 0.3869 0.2500 0.4166  5 O 2.00-2.11
2 Rh 0.1131 0.7500 0.9166  5 O 2.00-2.11
3 Rh 0.6131 0.7500 0.5834  5 O 2.00-2.11
4 Rh 0.8869 0.2500 0.0834  5 O 2.00-2.11
5 O 0.6746 0.2500 0.4949  3 Rh 2.08-2.11
6 O 0.8254 0.7500 0.9949  3 Rh 2.08-2.11
7 O 0.3254 0.7500 0.5051  3 Rh 2.08-2.11
8 O 0.1746 0.2500 0.0051  3 Rh 2.08-2.11
9 O 0.5868 0.2500 0.6659  2 Rh 2.00
10 O 0.9132 0.7500 0.1659  2 Rh 2.00
11 O 0.4132 0.7500 0.3341  2 Rh 2.00
12 O 0.0868 0.2500 0.8341  2 Rh 2.00
13 Rb 0.1171 0.2500 0.6425  4 O 2.77-2.92
14 Rb 0.3829 0.7500 0.1425  4 O 2.77-2.92
15 Rb 0.8829 0.7500 0.3575  4 O 2.77-2.92
16 Rb 0.6171 0.2500 0.8575  4 O 2.77-2.92